[1]
{
  "formula": "Sc5Rh3",
  "functional": "meta-GGA SCAN",
  "state": "single point on PBEsol structure",
  "lattice": [[5.666, 0.000, 0.000], [0.000, 7.708, 0.000], [0.000, -3.854, 6.675]],
  "species": ["Rh", "Rh", "Rh", "Rh", "Rh", "Rh", "Sc", "Sc", "Sc", "Sc", "Sc", "Sc", "Sc", "Sc", "Sc", "Sc"],
  "fractional_positions": [[0.750, 0.405, 0.405], [0.750, 0.595, 0.000], [0.250, 0.595, 0.595], [0.750, 0.000, 0.595], [0.250, 0.405, 0.000], [0.250, 0.000, 0.405], [0.250, 0.758, 0.000], [0.250, 0.000, 0.758], [0.750, 0.242, 0.000], [0.500, 0.333, 0.667], [0.750, 0.000, 0.242], [0.750, 0.758, 0.758], [0.250, 0.242, 0.242], [0.500, 0.667, 0.333], [0.000, 0.667, 0.333], [0.000, 0.333, 0.667]]
}

[2]
{
  "formula": "ScRh4",
  "functional": "meta-GGA SCAN",
  "state": "single point on PBEsol structure",
  "lattice": [[4.828, 0.000, 0.000], [-1.609, 4.552, 0.000], [-1.609, -2.276, 3.942]],
  "species": ["Rh", "Rh", "Rh", "Rh", "Sc"],
  "fractional_positions": [[0.500, 0.500, 0.500], [0.000, 0.000, 0.500], [0.000, 0.500, 0.000], [0.500, 0.000, 0.000], [0.000, 0.000, 0.000]]
}

| no. | distance to the lowest polymorph of the same formula (eV per formula unit) |
| --- | --- |
| 1 | 0.00 |
| 2 | 5.93 |